Entry 1:
This record from the Alexandria database describes a geometry-optimized CaTb7Pr2 structure. The functional is PBE-GGA.

Results
Final energy (eV for the cell shown): -43.0
Formation energy from the elements (eV/f.u.): 1.01
SG: P-1, No. 2
V (Å³/cell): 338.5

Structure (extended XYZ):
```
10
Lattice="-3.1482 4.6926 3.4191 -8.0976 -2.1889 3.3534 6.6381 3.2138 5.3323" Properties=species:S:1:pos:R:3 pbc="T T T"
Pr -0.3366 3.1483 5.8124
Pr -4.2712 2.5692 6.2924
Tb 3.2501 3.2300 6.0496
Tb -7.8579 2.4875 6.0552
Tb -5.6229 1.2519 3.3863
Tb -6.3475 4.0050 8.9072
Tb -1.7503 1.4462 3.2342
Tb 1.7397 1.7126 3.1975
Tb -2.8575 4.2714 8.8705
Ca 0.0000 0.0000 0.0000
```



Entry 2:
This record from the Alexandria database describes a geometry-optimized CaTb3Pr3 structure. The functional is PBE-GGA.

Results
Final energy (eV for the cell shown): -57.0
Formation energy from the elements (eV/f.u.): 1.71
SG: R-3, No. 148
V (Å³/cell): 509.9

Structure (extended XYZ):
```
14
Lattice="-4.0830 -3.8866 -6.6904 3.7970 -6.7072 -4.1399 -3.4359 -8.4408 1.2801" Properties=species:S:1:pos:R:3 pbc="T T T"
Tb -4.1131 -8.5773 -6.9007
Tb 0.3913 -10.4573 -2.6495
Tb -0.7580 -7.0165 -3.0434
Tb -2.9638 -12.0180 -6.5068
Tb -4.2784 -7.9403 -3.3115
Tb 0.5565 -11.0943 -6.2387
Pr -2.8521 -5.4683 -5.2363
Pr -0.8697 -13.5663 -4.3139
Pr -5.9252 -10.5539 -4.7421
Pr 2.2034 -8.4806 -4.8082
Pr -1.7464 -9.9181 -8.9479
Pr -1.9754 -9.1164 -0.6023
Ca -3.4197 -11.8085 -2.4933
Ca -0.3021 -7.2260 -7.0569
```



Entry 3:
This record from the Alexandria database describes a geometry-optimized CaTb4Pr7 structure. The functional is PBE-GGA.

Results
Final energy (eV for the cell shown): -53.6
Formation energy from the elements (eV/f.u.): 0.36
SG: P-1, No. 2
V (Å³/cell): 420.9

Structure (extended XYZ):
```
12
Lattice="-5.9225 1.5981 -4.0568 -9.0374 -3.2787 -1.4321 -6.0408 3.4218 6.8005" Properties=species:S:1:pos:R:3 pbc="T T T"
Pr -2.9612 0.7990 -2.0284
Pr -7.9995 1.8023 -0.9627
Pr -13.0011 -0.0612 2.2743
Pr -12.9802 2.7454 -0.0356
Pr -9.0219 -0.4280 -3.7703
Pr -11.9787 2.1692 5.0819
Pr -8.0204 -1.0043 1.3472
Tb -16.0077 0.7354 0.2893
Tb -4.9929 1.0058 1.0223
Tb -9.9840 1.9327 2.0233
Tb -11.0166 -0.1916 -0.7117
Ca 0.0000 0.0000 0.0000
```



Entry 4:
This record from the Alexandria database describes a geometry-optimized CaTb2Pr7 structure. The functional is PBE-GGA.

Results
Final energy (eV for the cell shown): -38.9
Formation energy from the elements (eV/f.u.): 5.79
SG: Cmmm, No. 65
V (Å³/cell): 433.5

Structure (extended XYZ):
```
10
Lattice="-2.9826 5.0152 -0.5661 -4.1979 -3.3518 -7.5773 -3.6708 -1.2300 8.4430" Properties=species:S:1:pos:R:3 pbc="T T T"
Pr -2.8640 1.9236 1.7756
Pr -5.4256 0.2167 0.1498
Pr -7.9873 -1.4903 -1.4760
Pr -4.0697 -2.8357 -3.6808
Pr -7.8623 -0.9868 2.3255
Pr -3.7991 -1.7461 4.5465
Pr -2.9890 1.4202 -2.0259
Ca 0.0000 0.0000 0.0000
Tb -5.5332 -0.2162 -3.1183
Tb -5.3181 0.6495 3.4180
```